Entry 1:
NaOsO4F | the Alexandria database | PBE-GGA | optimized geometry; Fermi-level density of states = 0.00 states/eV/cell; magnetization = 0.001 μB per cell; raw formation energy = -1.413 eV per atom; space group = C2/m (12)
1.0
4.185 -3.957 0.000
4.185 3.957 0.000
-1.509 0.000 7.258
Na Os O F
2 2 8 2
Direct
0.162 0.162 0.163 Na
0.838 0.838 0.837 Na
0.332 0.332 0.740 Os
0.668 0.668 0.260 Os
0.153 0.532 0.861 O
0.207 0.207 0.523 O
0.468 0.847 0.139 O
0.474 0.474 0.311 O
0.526 0.526 0.689 O
0.532 0.153 0.861 O
0.793 0.793 0.477 O
0.847 0.468 0.139 O
0.102 0.102 0.836 F
0.898 0.898 0.164 F



Entry 2:
Na5PO4F2 | the Alexandria database | PBE-GGA | optimized geometry; Fermi-level density of states = 0.00 states/eV/cell; magnetization = 0.054 μB per cell; raw formation energy = -2.336 eV per atom; space group = Amm2 (38)
1.0
6.598 0.000 0.000
0.000 4.493 2.723
0.000 -4.493 2.723
Na P O F
5 1 4 2
Direct
0.000 0.000 0.000 Na
0.260 0.305 0.677 Na
0.260 0.677 0.305 Na
0.740 0.305 0.677 Na
0.740 0.677 0.305 Na
0.500 0.013 0.013 P
0.308 0.182 0.182 O
0.500 0.702 0.984 O
0.500 0.984 0.702 O
0.692 0.182 0.182 O
0.000 0.558 0.953 F
0.000 0.953 0.558 F



Entry 3:
NaPOF2 | the Alexandria database | PBE-GGA | optimized geometry; Fermi-level density of states = 0.37 states/eV/cell; relative energy among the computed polymorphs = 30.79 kcal/mol of atoms; magnetization = 0.000 μB per cell; raw formation energy = -0.330 eV per atom; space group = P4/mmm (123)
1.0
3.851 0.000 0.000
0.000 3.851 0.000
0.000 0.000 4.303
Na P O F
1 1 1 2
Direct
0.000 0.000 0.000 Na
0.500 0.500 0.500 P
0.000 0.000 0.500 O
0.000 0.500 0.000 F
0.500 0.000 0.000 F